This record from Alexandria via LeMat-Bulk describes an optimized crystal structure of CoTcCO2. The functional is GGA-PBEsol.

The structure belongs to space group P4/mmm (No. 123); the cell edges are 3.412, 3.412 and 4.150 Å and the angles 90.00°, 90.00° and 90.00°. Symmetry generates all atoms from Co at (0.000, 0.000, 0.000), Tc at (0.500, 0.500, 0.000), C at (0.500, 0.500, 0.500) and O at (0.000, 0.500, 0.500).

As for the uncorrected formation energy: 1.34 eV per atom. Its crystal system is tetragonal. The value obtained for the density of states at the Fermi level is 5.8 states/eV/f.u.